The following is a DFT calculation (GGA-PBE) of LaTbPm2Pr5 after structural relaxation.

a = 9.0637 Å, b = 9.0637 Å, c = 10.1553 Å
α = 116.50°, β = 116.50°, γ = 90.00°
Fractional coordinates of all 18 atoms:
La (0.2500, 0.2500, 0.5000)
La (0.7500, 0.7500, 0.5000)
Tb (0.2500, 0.7500, 0.5000)
Tb (0.7500, 0.2500, 0.5000)
Pm (0.1157, 0.3843, 0.0000)
Pm (0.6157, 0.1157, 0.0000)
Pm (0.3843, 0.8843, 0.0000)
Pm (0.8843, 0.6157, 0.0000)
Pr (0.9304, 0.4304, 0.2743)
Pr (0.6561, 0.1561, 0.7257)
Pr (0.0696, 0.5696, 0.7257)
Pr (0.1561, 0.0696, 0.7257)
Pr (0.5696, 0.6561, 0.7257)
Pr (0.8439, 0.9304, 0.2743)
Pr (0.4304, 0.3439, 0.2743)
Pr (0.3439, 0.8439, 0.2743)
Pr (0.5000, 0.5000, 0.0000)
Pr (0.0000, 0.0000, 0.0000)

Energy in eV per cell: -81.21
N(E_F) in states/eV/f.u.: 14.390
Formation energy from the elements in kJ/mol of atoms: 25.2

The following is a DFT calculation (GGA-PBE) of LaTbPmPr after structural relaxation.

a = 5.8362 Å, b = 5.8362 Å, c = 5.8362 Å
α = 60.00°, β = 60.00°, γ = 60.00°
Fractional coordinates of all 4 atoms:
Pr (0.7500, 0.7500, 0.7500)
La (0.2500, 0.2500, 0.2500)
Tb (0.0000, 0.0000, 0.0000)
Pm (0.5000, 0.5000, 0.5000)

Energy in eV per cell: -18.62
Excess energy over the best structure of this formula in the dataset in kJ/mol of formula units: 36.2
N(E_F) in states/eV/f.u.: 8.749
Formation energy from the elements in kJ/mol of atoms: 11.2